No. 1
Material: MgZnPb2
Method: DFT, PBE
State: relaxed

Properties
Calculated volume = 26.40 A^3/atom
Space group = F-43m
Crystal system = cubic

Cell: 5.305 5.305 5.305 Å, 60.00 60.00 60.00°
Sites, in units of the cell vectors:
Mg 0.000 0.000 0.000
Zn 0.750 0.750 0.750
Pb 0.250 0.250 0.250
Pb 0.500 0.500 0.500



No. 2
Material: CrAgOs2
Method: DFT, PBE
State: relaxed

Properties
Calculated volume = 15.02 A^3/atom
Space group = F-43m
Crystal system = cubic

Cell: 4.396 4.396 4.396 Å, 60.00 60.00 60.00°
Sites, in units of the cell vectors:
Cr 0.000 0.000 0.000
Ag 0.250 0.250 0.250
Os 0.500 0.500 0.500
Os 0.750 0.750 0.750



No. 3
Material: NdCdFeC
Method: DFT, PBE
State: relaxed

Properties
Calculated volume = 17.94 A^3/atom
Space group = P4/nmm
Crystal system = tetragonal

Cell: 3.670 3.670 10.655 Å, 90.00 90.00 90.00°
Sites, in units of the cell vectors:
Nd 0.250 0.250 0.211
Nd 0.750 0.750 0.789
Cd 0.250 0.750 0.500
Cd 0.750 0.250 0.500
Fe 0.250 0.750 0.000
Fe 0.750 0.250 0.000
C 0.250 0.250 0.922
C 0.750 0.750 0.078



No. 4
Material: Cu10PtAu6
Method: DFT, PBE
State: relaxed

Properties
Calculated volume = 15.02 A^3/atom
Space group = P-31m
Crystal system = trigonal

Cell: 7.497 7.497 5.247 Å, 90.00 90.00 120.00°
Sites, in units of the cell vectors:
Cu 0.000 0.309 0.328
Cu 0.000 0.691 0.672
Cu 0.309 0.000 0.328
Cu 0.309 0.309 0.672
Cu 0.333 0.667 0.000
Cu 0.333 0.667 0.500
Cu 0.667 0.333 0.000
Cu 0.667 0.333 0.500
Cu 0.691 0.000 0.672
Cu 0.691 0.691 0.328
Pt 0.000 0.000 0.000
Au 0.000 0.352 0.813
Au 0.000 0.648 0.187
Au 0.352 0.000 0.813
Au 0.352 0.352 0.187
Au 0.648 0.000 0.187
Au 0.648 0.648 0.813



| no. | calculated total energy (eV per atom) | calculated density (Mg/m³) |
| --- | --- | --- |
| 1 | -2.482 | 7.9 |
| 2 | -7.979 | 14.9 |
| 3 | -5.835 | 7.5 |
| 4 | -3.872 | 13.1 |